Entry 1:
## Co2Hg2Os (PBE)

Data for Co2Hg2Os after structural relaxation.

abc: 7.3974 7.3974 2.9328
angles: 90.00 90.00 90.00
Space group P4/mbm (No. 127)
Symmetry-distinct sites (fractional):
Co (0.1611, 0.3389, 0.0000) x4
Hg (0.1401, 0.6401, 0.5000) x4
Os (0.0000, 0.0000, 0.5000) x2

Density of states at the Fermi level   6.5 states/eV/f.u.
Total energy   -4.22 eV/atom
Formation energy   987 meV/atom
E above lowest polymorph   0.0738 eV/atom


Entry 2:
## CsTlAuI3 (PBE)

Data for CsTlAuI3 after structural relaxation.

abc: 9.3833 9.3833 8.4090
angles: 90.00 90.00 120.00
Space group P6_3/mmc (No. 194)
Symmetry-distinct sites (fractional):
Cs (0.3333, 0.6667, 0.2500) x2
Tl (0.0000, 0.0000, 0.0000) x2
Au (0.3333, 0.6667, 0.7500) x2
I (0.1669, 0.3338, 0.7500) x6

Energy relative to the elements, uncorrected   -0.6830 eV per atom
Total energy   -2.54 eV/atom


Entry 3:
## TaPBr2 (PBE)

Data for TaPBr2 after structural relaxation.

abc: 4.8228 14.5730 3.5605
angles: 90.00 90.00 90.00
Space group Cmmm (No. 65)
Symmetry-distinct sites (fractional):
Ta (0.0000, 0.0000, 0.0000) x2
P (0.0000, 0.5000, 0.0000) x2
Br (0.0000, 0.1347, 0.5000) x4

Density of states at the Fermi level   2.5 states/eV/f.u.
Energy relative to the elements, uncorrected   -0.2742 eV per atom
Total energy   -5.43 eV/atom
E above lowest polymorph   0.1463 eV/atom


Entry 4:
## Sn2AuCl (PBE)

Data for Sn2AuCl after structural relaxation.

abc: 6.2893 6.2893 13.6931
angles: 90.00 90.00 90.00
Space group I-42d (No. 122)
Symmetry-distinct sites (fractional):
Sn (0.2055, 0.2500, 0.1250) x8
Au (0.0000, 0.0000, 0.0000) x4
Cl (0.0000, 0.0000, 0.5000) x4

Density of states at the Fermi level   0.2 states/eV/f.u.
Energy relative to the elements, uncorrected   -0.1179 eV per atom
Total energy   -3.40 eV/atom
E above lowest polymorph   0.1916 eV/atom


Entry 5:
## KAg2Br5 (PBE)

Data for KAg2Br5 after structural relaxation.

abc: 5.2704 5.2704 19.5171
angles: 90.00 90.00 90.00
Space group I4/mmm (No. 139)
Symmetry-distinct sites (fractional):
K (0.0000, 0.0000, 0.0000) x2
Ag (0.0000, 0.0000, 0.3572) x4
Br (0.0000, 0.0000, 0.5000) x2
Br (0.0000, 0.5000, 0.1397) x8

Density of states at the Fermi level   4.1 states/eV/f.u.
Energy relative to the elements, uncorrected   -0.5327 eV per atom
Total energy   -2.43 eV/atom